Compound: Li2BrCl
Source: Alexandria via LeMat-Bulk
Functional: meta-GGA SCAN
Structure: PBEsol geometry

abc: 6.867 6.867 6.867
angles: 131.59 131.59 70.87
Fractional coordinates of all 8 atoms:
Li  0.102  0.625  0.977
Li  0.375  0.352  0.477
Li  0.648  0.125  0.023
Li  0.875  0.898  0.523
Br  0.250  0.750  0.500
Br  0.500  0.500  0.000
Cl  0.000  0.000  0.000
Cl  0.750  0.250  0.500

Properties
E_tot, eV per formula unit: -39.6
Density, g/cm3: 2.4
Energy above the most stable polymorph in this dataset, meV per atom: 0
Calculated volume, Å³/atom: 22.172
Space-group type: I-42d, No. 122



Compound: CoS2NO
Source: Alexandria via LeMat-Bulk
Functional: meta-GGA SCAN
Structure: PBEsol geometry

abc: 4.469 4.469 3.284
angles: 90.00 90.00 90.00
Fractional coordinates of all 5 atoms:
Co  0.000  0.000  0.000
S  0.000  0.500  0.000
S  0.500  0.000  0.000
N  0.000  0.000  0.500
O  0.500  0.500  0.500

Properties
E_tot, eV per formula unit: -46.2
Density, g/cm3: 3.9
Calculated volume, Å³/atom: 13.120
Space-group type: P4/mmm, No. 123



Compound: Zn3Fe
Source: Alexandria via LeMat-Bulk
Functional: meta-GGA SCAN
Structure: PBEsol geometry

abc: 2.558 4.110 4.949
angles: 90.00 100.59 90.00
Fractional coordinates of all 4 atoms:
Zn  0.000  0.000  0.000
Zn  0.212  0.500  0.740
Zn  0.788  0.500  0.260
Fe  0.500  0.000  0.500

Properties
E_tot, eV per formula unit: -58.6
Density, g/cm3: 8.2
Calculated volume, Å³/atom: 12.788
Space-group type: P2/m, No. 10
Energy relative to the elements, meV/atom: 14



Compound: Sr4CaBr
Source: Alexandria via LeMat-Bulk
Functional: meta-GGA SCAN
Structure: PBEsol geometry

abc: 7.590 7.590 7.590
angles: 60.00 60.00 60.00
Fractional coordinates of all 6 atoms:
Sr  0.376  0.376  0.376
Sr  0.376  0.376  0.872
Sr  0.376  0.872  0.376
Sr  0.872  0.376  0.376
Ca  0.750  0.750  0.750
Br  0.000  0.000  0.000

Properties
E_tot, eV per formula unit: -117.8
Density, g/cm3: 2.5
Calculated volume, Å³/atom: 51.534
Space-group type: F-43m, No. 216



Compound: Re2Ru2Cl
Source: Alexandria via LeMat-Bulk
Functional: meta-GGA SCAN
Structure: PBEsol geometry

abc: 6.792 6.792 6.792
angles: 149.07 149.07 44.31
Fractional coordinates of all 5 atoms:
Re  0.250  0.750  0.500
Re  0.750  0.250  0.500
Ru  0.105  0.105  0.000
Ru  0.895  0.895  0.000
Cl  0.500  0.500  0.000

Properties
E_tot, eV per formula unit: -216.5
Density, g/cm3: 12.3
Calculated volume, Å³/atom: 16.513
Space-group type: I4/mmm, No. 139



Compound: K2CdSb
Source: Alexandria via LeMat-Bulk
Functional: meta-GGA SCAN
Structure: PBEsol geometry

abc: 5.612 5.612 5.612
angles: 60.00 60.00 60.00
Fractional coordinates of all 4 atoms:
K  0.000  0.000  0.000
K  0.250  0.250  0.250
Cd  0.500  0.500  0.500
Sb  0.750  0.750  0.750

Properties
E_tot, eV per formula unit: -85.3
Density, g/cm3: 4.1
Energy above the most stable polymorph in this dataset, meV per atom: 0
Calculated volume, Å³/atom: 31.248
Space-group type: F-43m, No. 216



Compound: TcGeIN2
Source: Alexandria via LeMat-Bulk
Functional: meta-GGA SCAN
Structure: PBEsol geometry

abc: 3.935 3.935 5.258
angles: 90.00 90.00 90.00
Fractional coordinates of all 5 atoms:
Tc  0.000  0.000  0.000
Ge  0.500  0.500  0.000
I  0.000  0.000  0.500
N  0.000  0.500  0.500
N  0.500  0.000  0.500

Properties
E_tot, eV per formula unit: -98.6
Density, g/cm3: 6.6
Calculated volume, Å³/atom: 16.283
Space-group type: P4/mmm, No. 123



Compound: Li2LaIn
Source: Alexandria via LeMat-Bulk
Functional: meta-GGA SCAN
Structure: PBEsol geometry

abc: 6.404 6.404 3.124
angles: 103.05 103.05 117.95
Fractional coordinates of all 4 atoms:
Li  0.000  0.500  0.000
Li  0.500  0.000  0.000
La  0.000  0.000  0.500
In  0.500  0.500  0.500

Properties
E_tot, eV per formula unit: -81.7
Density, g/cm3: 4.4
Calculated volume, Å³/atom: 25.434
Space-group type: C2/m, No. 12
Energy relative to the elements, meV/atom: -98



Compound: IrRh5
Source: Alexandria via LeMat-Bulk
Functional: meta-GGA SCAN
Structure: PBEsol geometry

abc: 5.111 5.111 6.360
angles: 104.26 104.26 30.54
Fractional coordinates of all 6 atoms:
Ir  0.000  0.000  0.000
Rh  0.056  0.056  0.611
Rh  0.335  0.335  0.668
Rh  0.391  0.391  0.278
Rh  0.667  0.667  0.333
Rh  0.722  0.722  0.945

Properties
E_tot, eV per formula unit: -239.7
Density, g/cm3: 14.4
Energy above the most stable polymorph in this dataset, meV per atom: 52
Calculated volume, Å³/atom: 13.607
Space-group type: Cm, No. 8
Energy relative to the elements, meV/atom: 42



Compound: CrCuPb2
Source: Alexandria via LeMat-Bulk
Functional: meta-GGA SCAN
Structure: PBEsol geometry

abc: 5.992 5.992 5.992
angles: 147.31 134.62 57.05
Fractional coordinates of all 4 atoms:
Cr  0.000  0.000  0.000
Cu  0.810  0.310  0.500
Pb  0.277  0.777  0.500
Pb  0.557  0.557  0.000

Properties
E_tot, eV per formula unit: -183.8
Density, g/cm3: 10.7
Energy above the most stable polymorph in this dataset, meV per atom: 11
Calculated volume, Å³/atom: 20.518
Space-group type: Imm2, No. 44
Energy relative to the elements, meV/atom: 340



Compound: TiBeOs3
Source: Alexandria via LeMat-Bulk
Functional: meta-GGA SCAN
Structure: PBEsol geometry

abc: 4.468 4.468 4.468
angles: 90.00 90.00 90.00
Fractional coordinates of all 5 atoms:
Ti  0.000  0.000  0.000
Be  0.500  0.500  0.500
Os  0.000  0.000  0.500
Os  0.000  0.500  0.000
Os  0.500  0.000  0.000

Properties
E_tot, eV per formula unit: -225.5
Density, g/cm3: 11.7
Calculated volume, Å³/atom: 17.841
Space-group type: Pm-3m, No. 221
Energy relative to the elements, meV/atom: 2110



Compound: YAg2Mo
Source: Alexandria via LeMat-Bulk
Functional: meta-GGA SCAN
Structure: PBEsol geometry

abc: 3.125 3.779 6.351
angles: 90.00 90.00 90.00
Fractional coordinates of all 4 atoms:
Y  0.000  0.000  0.000
Ag  0.000  0.000  0.505
Ag  0.500  0.500  0.279
Mo  0.500  0.500  0.723

Properties
E_tot, eV per formula unit: -124.1
Density, g/cm3: 8.9
Energy above the most stable polymorph in this dataset, meV per atom: 14
Calculated volume, Å³/atom: 18.749
Space-group type: Pmm2, No. 25
Energy relative to the elements, meV/atom: 345